This record from Alexandria via LeMat-Bulk describes crystalline TiNb3W2 at its relaxed geometry. The functional is GGA-PBE.

Cell: 5.505 9.566 6.259 Å, 139.84 90.00 90.00°
Fractional positions:
Nb 0.500 0.168 0.336
Nb 0.000 0.168 0.336
Nb 0.500 0.832 0.664
Nb 0.000 0.500 0.000
Nb 0.500 0.500 0.000
Nb 0.000 0.832 0.664
W 0.250 0.904 0.322
W 0.750 0.096 0.678
W 0.750 0.417 0.322
W 0.250 0.583 0.678
Ti 0.250 0.238 0.000
Ti 0.750 0.762 0.000

## Properties
Uncorrected energy, eV for the cell shown: -124.55
Total moment, μB/cell: 0.000
Formation enthalpy at 0 K, eV per atom: 0.29
Mass density, g/cm3: 10.8
Crystal system: orthorhombic
Space-group type: Cmcm, No. 63